# 1
PBE Nb2Tc2Pb, optimized geometry; magnetization = 0.00 μB/cell; formation energy = 0.3140 eV per atom; offset from the most stable computed form = 0.27 eV per formula unit; space group = I4/mmm
1.0
4.323 0.000 0.000
0.000 4.323 0.000
0.000 0.000 10.877
Nb Tc Pb
4 4 2
Cartesian
0.000 2.161 2.719
0.000 2.161 8.158
2.161 0.000 2.719
2.161 0.000 8.158
0.000 0.000 1.257
0.000 0.000 9.620
2.161 2.161 4.182
2.161 2.161 6.696
0.000 0.000 5.439
2.161 2.161 0.000



# 2
PBE Nb3TcPb, optimized geometry; magnetization = 0.00 μB/cell; formation energy = 0.8681 eV per atom; offset from the most stable computed form = 0.00 eV per formula unit; space group = Pm-3m
1.0
4.855 0.000 0.000
0.000 4.855 0.000
0.000 0.000 4.855
Nb Tc Pb
3 1 1
Cartesian
0.000 0.000 2.427
0.000 2.427 0.000
2.427 0.000 0.000
0.000 0.000 0.000
2.427 2.427 2.427



# 3
PBE NbTc3Pb, optimized geometry; magnetization = 0.86 μB/cell; formation energy = 2.4722 eV per atom; offset from the most stable computed form = 4.53 eV per formula unit; space group = Pm-3m
1.0
4.851 0.000 0.000
0.000 4.851 0.000
0.000 0.000 4.851
Nb Tc Pb
1 3 1
Cartesian
0.000 0.000 0.000
0.000 2.426 2.426
2.426 0.000 2.426
2.426 2.426 0.000
2.426 2.426 2.426



# 4
PBE Nb2TcPb2, optimized geometry; magnetization = 0.00 μB/cell; formation energy = 0.5437 eV per atom; offset from the most stable computed form = 0.00 eV per formula unit; space group = P4/mbm
1.0
6.710 0.000 0.000
0.000 6.710 0.000
0.000 0.000 4.847
Nb Tc Pb
4 2 4
Cartesian
0.978 2.377 0.000
2.377 5.732 0.000
4.334 0.978 0.000
5.732 4.334 0.000
0.000 0.000 0.000
3.355 3.355 0.000
1.180 4.535 2.424
2.176 1.180 2.424
4.535 5.531 2.424
5.531 2.176 2.424



# 5
PBE NbTc3Pb, optimized geometry; magnetization = 2.98 μB/cell; formation energy = 1.5660 eV per atom; offset from the most stable computed form = 0.00 eV per formula unit; space group = Pm-3m
1.0
4.799 0.000 0.000
0.000 4.799 0.000
0.000 0.000 4.799
Nb Tc Pb
1 3 1
Cartesian
0.000 0.000 0.000
0.000 0.000 2.399
0.000 2.399 0.000
2.399 0.000 0.000
2.399 2.399 2.399



# 6
PBE NbTcPb2, optimized geometry; magnetization = 0.00 μB/cell; formation energy = 0.9778 eV per atom; offset from the most stable computed form = 1.28 eV per formula unit; space group = I-42d
1.0
7.780 0.000 0.000
0.000 7.780 0.000
0.000 0.000 5.929
Nb Tc Pb
4 4 8
Cartesian
0.000 0.000 0.000
0.000 3.890 1.482
3.890 0.000 4.447
3.890 3.890 2.964
0.000 0.000 2.964
0.000 3.890 4.447
3.890 0.000 1.482
3.890 3.890 0.000
1.794 1.945 3.706
1.945 5.683 5.188
1.945 5.986 2.223
2.096 1.945 0.741
5.683 5.835 0.741
5.835 1.794 2.223
5.835 2.096 5.188
5.986 5.835 3.706



# 7
PBE Nb2TlTcPb, optimized geometry; magnetization = 0.30 μB/cell; formation energy = 1.9537 eV per atom; space group = P4/mmm
1.0
5.221 0.000 0.000
0.000 5.221 0.000
0.000 0.000 5.033
Nb Tl Tc Pb
2 1 1 1
Cartesian
0.000 2.610 0.000
2.610 0.000 0.000
0.000 0.000 2.516
2.610 2.610 2.516
2.610 2.610 0.000



# 8
PBE NbTePb3, optimized geometry; raw formation energy = 701 kJ/mol of formula units; magnetization = 0.00 μB/cell; offset from the most stable computed form = 4.94 eV per formula unit; space group = Pm-3m
1.0
5.822 0.000 0.000
0.000 5.822 0.000
0.000 0.000 5.822
Nb Te Pb
1 1 3
Cartesian
0.000 0.000 0.000
2.911 2.911 2.911
0.000 2.911 2.911
2.911 0.000 2.911
2.911 2.911 0.000



# 9
PBE NbTe2Pb, optimized geometry; raw formation energy = 170 kJ/mol of formula units; magnetization = 0.00 μB/cell; space group = R-3m
1.0
3.197 0.000 0.000
-1.598 2.768 0.000
0.000 0.000 37.560
Nb Te Pb
3 6 3
Cartesian
0.000 0.000 0.000
0.000 1.846 25.040
1.598 0.923 12.520
0.000 0.000 2.836
0.000 0.000 34.724
0.000 1.846 22.204
0.000 1.846 27.877
1.598 0.923 9.684
1.598 0.923 15.357
0.000 0.000 18.780
0.000 1.846 6.260
1.598 0.923 31.300



# 10
PBE NbTe2Pb, optimized geometry; raw formation energy = -117 kJ/mol of formula units; magnetization = 0.00 μB/cell; space group = R-3m
1.0
3.632 0.000 0.000
-1.816 3.146 0.000
0.000 0.000 30.921
Nb Te Pb
3 6 3
Cartesian
0.000 0.000 0.000
0.000 2.097 20.614
1.816 1.049 10.307
0.000 0.000 12.171
0.000 0.000 18.750
0.000 2.097 1.864
0.000 2.097 8.443
1.816 1.049 22.478
1.816 1.049 29.057
0.000 0.000 15.461
0.000 2.097 5.154
1.816 1.049 25.768



# 11
PBE NbTe2Pb, optimized geometry; raw formation energy = 70 kJ/mol of formula units; magnetization = 9.07 μB/cell; space group = I-42d
1.0
7.222 0.000 0.000
0.000 7.222 0.000
0.000 0.000 11.867
Nb Te Pb
4 8 4
Cartesian
0.000 0.000 0.000
0.000 3.611 2.967
3.611 0.000 8.900
3.611 3.611 5.933
1.438 1.806 1.483
1.806 5.049 4.450
1.806 5.784 10.383
2.173 1.806 7.417
5.049 5.417 7.417
5.417 1.438 10.383
5.417 2.173 4.450
5.784 5.417 1.483
0.000 0.000 5.933
0.000 3.611 8.900
3.611 0.000 2.967
3.611 3.611 0.000



# 12
PBE NbTe3Pb, optimized geometry; raw formation energy = 44 kJ/mol of formula units; magnetization = 0.00 μB/cell; offset from the most stable computed form = 0.00 eV per formula unit; space group = Pm-3m
1.0
5.468 0.000 0.000
0.000 5.468 0.000
0.000 0.000 5.468
Nb Te Pb
1 3 1
Cartesian
0.000 0.000 0.000
0.000 0.000 2.734
0.000 2.734 0.000
2.734 0.000 0.000
2.734 2.734 2.734



| no. | electronic total energy (eV/atom) |
| --- | --- |
| 1 | -8.602 |
| 2 | -7.989 |
| 3 | -6.503 |
| 4 | -7.041 |
| 5 | -7.409 |
| 6 | -5.985 |
| 7 | -5.362 |
| 8 | -3.415 |
| 9 | -4.574 |
| 10 | -5.318 |
| 11 | -4.835 |
| 12 | -4.549 |